1.
Density functional theory data (PBE) for a relaxed LiPrPuOs crystal.

Cell lengths 7.0434, 7.0434, 7.0434 Å; angles 90.00, 90.00, 90.00 degrees
With the nearest neighbours (Å) after each atom.
Space group F-43m (No. 216)
Inequivalent atoms, fractional coordinates:
Li 0.0000 0.0000 0.0000  4 Pu 3.05, 4 Pr 3.05
Pr 0.2500 0.2500 0.2500  4 Li 3.05, 4 Os 3.05
Pu 0.2500 0.2500 0.7500  4 Os 3.05, 4 Li 3.05
Os 0.0000 0.0000 0.5000  4 Pr 3.05, 4 Pu 3.05

Output
formation energy from the elements: 0.0576 eV per atom
D(E_F): 9.7 states/eV/f.u.

***

2.
Density functional theory data (PBE) for a relaxed LiPrSmOs crystal.

Cell lengths 7.1388, 7.1388, 7.1388 Å; angles 90.00, 90.00, 90.00 degrees
With the nearest neighbours (Å) after each atom.
Space group F-43m (No. 216)
Inequivalent atoms, fractional coordinates:
Li 0.0000 0.0000 0.0000  4 Pr 3.09, 4 Sm 3.09
Pr 0.2500 0.2500 0.7500  4 Li 3.09, 4 Os 3.09
Sm 0.2500 0.2500 0.2500  4 Li 3.09, 4 Os 3.09
Os 0.0000 0.0000 0.5000  4 Pr 3.09, 4 Sm 3.09

Output
formation energy from the elements: -0.0849 eV per atom
D(E_F): 2.4 states/eV/f.u.

***

3.
Density functional theory data (PBE) for a relaxed LiPrYOs crystal.

Cell lengths 7.0793, 7.0793, 7.0793 Å; angles 90.00, 90.00, 90.00 degrees
With the nearest neighbours (Å) after each atom.
Space group F-43m (No. 216)
Inequivalent atoms, fractional coordinates:
Li 0.0000 0.0000 0.0000  4 Pr 3.07, 4 Y 3.07
Pr 0.2500 0.2500 0.7500  4 Li 3.07, 4 Os 3.07
Y 0.2500 0.2500 0.2500  4 Li 3.07, 4 Os 3.07
Os 0.0000 0.0000 0.5000  4 Pr 3.07, 4 Y 3.07

Output
formation energy from the elements: -0.1180 eV per atom
D(E_F): 2.5 states/eV/f.u.

***

4.
Density functional theory data (PBE) for a relaxed LiPrZrOs crystal.

Cell lengths 6.9053, 6.9053, 6.9053 Å; angles 90.00, 90.00, 90.00 degrees
With the nearest neighbours (Å) after each atom.
Space group F-43m (No. 216)
Inequivalent atoms, fractional coordinates:
Li 0.0000 0.0000 0.0000  4 Zr 2.99, 4 Pr 2.99
Pr 0.2500 0.2500 0.2500  4 Li 2.99, 4 Os 2.99
Zr 0.2500 0.2500 0.7500  4 Li 2.99, 4 Os 2.99
Os 0.0000 0.0000 0.5000  4 Zr 2.99, 4 Pr 2.99

Output
formation energy from the elements: -0.0577 eV per atom
D(E_F): 4.4 states/eV/f.u.

***

5.
Density functional theory data (PBE) for a relaxed LiOsPt crystal.

Cell lengths 2.7130, 2.7130, 13.5571 Å; angles 90.00, 90.00, 120.00 degrees
With the nearest neighbours (Å) after each atom.
Space group P-6m2 (No. 187)
Inequivalent atoms, fractional coordinates:
Li 0.0000 0.0000 0.1686  3 Pt 2.71, 6 Li 2.71, 3 Os 2.77
Os 0.0000 0.0000 0.5000  6 Os 2.71, 6 Pt 2.77
Os 0.3333 0.6667 0.0000  6 Os 2.71, 6 Li 2.77
Pt 0.3333 0.6667 0.3316  3 Li 2.71, 6 Pt 2.71, 3 Os 2.77

Output
relative energy among the computed polymorphs: 0.00 kJ per mole of atoms
formation energy from the elements: -0.0004 eV per atom
D(E_F): 2.1 states/eV/f.u.

***

6.
Density functional theory data (PBE) for a relaxed LiOsPt2 crystal.

Cell lengths 2.7346, 2.7346, 7.8210 Å; angles 90.00, 90.00, 90.00 degrees
With the nearest neighbours (Å) after each atom.
Space group P4mm (No. 99)
Inequivalent atoms, fractional coordinates:
Li 0.0000 0.0000 0.0000  4 Pt 2.67, 4 Li 2.73, 4 Os 2.80
Os 0.5000 0.5000 0.2589  4 Pt 2.68, 4 Os 2.73, 4 Li 2.80
Pt 0.0000 0.0000 0.4970  4 Os 2.68, 8 Pt 2.73-2.85
Pt 0.5000 0.5000 0.7643  4 Li 2.67, 8 Pt 2.73-2.85

Output
relative energy among the computed polymorphs: 26.97 kJ per mole of atoms
formation energy from the elements: 0.0400 eV per atom
D(E_F): 1.9 states/eV/f.u.

***

7.
Density functional theory data (PBE) for a relaxed LiOsPt2 crystal.

Cell lengths 3.8420, 3.8420, 7.6988 Å; angles 90.00, 90.00, 90.00 degrees
With the nearest neighbours (Å) after each atom.
Space group I-4m2 (No. 119)
Inequivalent atoms, fractional coordinates:
Li 0.0000 0.0000 0.0000  8 Pt 2.72, 4 Os 2.72
Os 0.0000 0.5000 0.7500  8 Pt 2.72, 4 Li 2.72
Pt 0.0000 0.0000 0.5000  4 Li 2.72, 4 Os 2.72, 4 Pt 2.72
Pt 0.0000 0.5000 0.2500  4 Os 2.72, 4 Li 2.72, 4 Pt 2.72

Output
relative energy among the computed polymorphs: 20.66 kJ per mole of atoms
formation energy from the elements: -0.0255 eV per atom
D(E_F): 2.7 states/eV/f.u.

***

8.
Density functional theory data (PBE) for a relaxed LiOsPt2 crystal.

Cell lengths 2.7077, 4.3632, 10.6553 Å; angles 90.00, 90.00, 90.00 degrees
With the nearest neighbours (Å) after each atom.
Space group Imm2 (No. 44)
Inequivalent atoms, fractional coordinates:
Li 0.0000 0.0000 0.0000  4 Pt 2.60, 2 Li 2.71
Os 0.0000 0.5000 0.7567  6 Pt 2.58-2.66, 2 Os 2.71
Pt 0.0000 0.0000 0.4627  2 Os 2.58, 4 Li 2.60, 4 Pt 2.71-2.80
Pt 0.0000 0.5000 0.1924  4 Os 2.66, 4 Pt 2.71-2.80

Output
relative energy among the computed polymorphs: 18.57 kJ per mole of atoms
formation energy from the elements: -0.0471 eV per atom
D(E_F): 2.8 states/eV/f.u.

***

9.
Density functional theory data (PBE) for a relaxed LiOs2Pt crystal.

Cell lengths 4.6203, 4.6203, 2.6892 Å; angles 90.00, 90.00, 90.00 degrees
With the nearest neighbours (Å) after each atom.
Space group P4/mmm (No. 123)
Inequivalent atoms, fractional coordinates:
Li 0.0000 0.0000 0.0000  8 Os 2.67, 2 Li 2.69
Os 0.0000 0.5000 0.5000  4 Li 2.67, 4 Pt 2.67, 2 Os 2.69
Pt 0.5000 0.5000 0.0000  8 Os 2.67, 2 Pt 2.69

Output
relative energy among the computed polymorphs: 50.94 kJ per mole of atoms
formation energy from the elements: 0.5395 eV per atom
D(E_F): 5.6 states/eV/f.u.

***

10.
Density functional theory data (PBE) for a relaxed LiOsPt2 crystal.

Cell lengths 2.7307, 4.6616, 9.3983 Å; angles 90.00, 90.00, 90.00 degrees
With the nearest neighbours (Å) after each atom.
Space group Cmm2 (No. 35)
Inequivalent atoms, fractional coordinates:
Li 0.0000 0.0000 0.0000  2 Pt 2.58, 6 Li 2.70-2.73, 2 Os 2.70
Os 0.0000 0.5000 0.7519  6 Os 2.70-2.73, 2 Li 2.70, 2 Pt 2.72
Pt 0.0000 0.0000 0.5011  8 Pt 2.70-2.87, 2 Os 2.72
Pt 0.0000 0.5000 0.2324  2 Li 2.58, 8 Pt 2.70-2.87

Output
relative energy among the computed polymorphs: 31.84 kJ per mole of atoms
formation energy from the elements: 0.0905 eV per atom
D(E_F): 4.2 states/eV/f.u.

***

11.
Density functional theory data (PBE) for a relaxed Li2OsPt crystal.

Cell lengths 2.7440, 4.5541, 8.9333 Å; angles 90.00, 90.00, 90.00 degrees
With the nearest neighbours (Å) after each atom.
Space group Cmmm (No. 65)
Inequivalent atoms, fractional coordinates:
Li 0.0000 0.0000 0.2469  2 Pt 2.60, 2 Os 2.64, 6 Li 2.66-2.74
Os 0.0000 0.5000 0.5000  4 Li 2.64, 6 Os 2.66-2.74
Pt 0.0000 0.5000 0.0000  4 Li 2.60, 6 Pt 2.66-2.74

Output
relative energy among the computed polymorphs: 7.38 kJ per mole of atoms
formation energy from the elements: -0.1687 eV per atom
D(E_F): 3.1 states/eV/f.u.

***

12.
Density functional theory data (PBE) for a relaxed LiOsPt2 crystal.

Cell lengths 2.7530, 2.7530, 7.7680 Å; angles 90.00, 90.00, 90.00 degrees
With the nearest neighbours (Å) after each atom.
Space group P4/mmm (No. 123)
Inequivalent atoms, fractional coordinates:
Li 0.0000 0.0000 0.0000  4 Li 2.75, 8 Pt 2.78
Os 0.0000 0.0000 0.5000  8 Pt 2.72, 4 Os 2.75
Pt 0.5000 0.5000 0.2557  4 Os 2.72, 4 Pt 2.75, 4 Li 2.78

Output
relative energy among the computed polymorphs: 11.40 kJ per mole of atoms
formation energy from the elements: -0.1215 eV per atom
D(E_F): 3.4 states/eV/f.u.

***

Going through the records in order, we get total magnetization values of 22.122, 0.000, 0.000, 0.000, 0.000, 0.000, 0.000, 0.000, 0.000, 0.000, 0.000, 0.000 μB per cell.